# 1
A relaxed SrPdW crystal. Source: Alexandria via LeMat-Bulk, functional PBE.

The structure in POSCAR format:
```
SrPdW
1.0
-1.709 9.276 2.240
1.709 -9.276 2.240
1.709 9.276 -2.240
Sr Pd W
2 2 2
Direct
0.169 0.000 0.169 Sr
0.831 0.000 0.831 Sr
0.393 0.002 0.391 Pd
0.611 0.002 0.609 Pd
0.038 0.538 0.500 W
0.609 0.609 0.000 W
```

Properties
* space-group type: Imm2 (44)
* energy of formation: 0.202 eV/atom
* energy above the most stable polymorph in this dataset: 48.8 meV per atom
* total moment: 0.0000 μB per atom

# 2
A relaxed Mg2Ti crystal. Source: Alexandria via LeMat-Bulk, functional PBE.

The structure in POSCAR format:
```
Mg2Ti
1.0
4.558 -2.734 0.000
4.558 2.734 0.000
-2.551 0.000 4.929
Mg Ti
4 2
Direct
0.070 0.262 0.247 Mg
0.262 0.070 0.747 Mg
0.738 0.930 0.253 Mg
0.930 0.738 0.753 Mg
0.418 0.582 0.250 Ti
0.582 0.418 0.750 Ti
```

Properties
* space-group type: C2/c (15)
* energy of formation: 0.231 eV/atom
* total moment: 0.4363 μB per atom

Number 1: D(E_F) 2.852 states/eV/f.u.. Number 2: D(E_F) 3.075 states/eV/f.u..